SmHoCF2: relaxed, PBE.

Computed properties:
Its crystal system is trigonal.

abc: 3.676 3.676 6.395
angles: 90.00 90.00 120.00
Fractional positions:
1 F 0.667 0.333 0.396
2 F 0.333 0.667 0.622
3 Sm 0.333 0.667 0.209
4 Ho 0.667 0.333 0.781
5 C 0.000 0.000 0.992

TbHoCF2: relaxed, PBE.

Computed properties:
Its crystal system is trigonal.

abc: 3.627 3.627 6.330
angles: 90.00 90.00 120.00
Fractional positions:
1 Ho 0.333 0.667 0.214
2 F 0.333 0.667 0.611
3 F 0.667 0.333 0.383
4 Tb 0.667 0.333 0.789
5 C 0.000 0.000 0.003

HoTmCF2: relaxed, PBE.

Computed properties:
Its crystal system is trigonal.

abc: 3.582 3.582 6.267
angles: 90.00 90.00 120.00
Fractional positions:
1 F 0.333 0.667 0.619
2 F 0.667 0.333 0.388
3 Tm 0.667 0.333 0.786
4 C 0.000 0.000 0.997
5 Ho 0.333 0.667 0.209

Electronic total energy per entry: -6.827, -6.853, -6.852 eV per atom